[1]
LiIn4Bi | GGA-PBE | optimized geometry

Lattice parameters (Å, degrees): 5.8565 5.8565 6.3615 107.73 107.73 50.26
Atoms (fractional coordinates):
Li (0.0000, 0.0000, 0.0000)
In (0.3174, 0.3174, 0.1658)
In (0.3487, 0.3487, 0.6879)
In (0.6513, 0.6513, 0.3121)
In (0.6826, 0.6826, 0.8342)
Bi (0.0000, 0.0000, 0.5000)

Computed properties:
energy of formation	-45.1	kJ/mol of formula units
SG	C2/m (12)
volume	26.33	Å³ per atom
M_tot	0.000	μB per atom

---

[2]
CeErO4 | GGA-PBE | optimized geometry

Lattice parameters (Å, degrees): 5.1051 5.1051 3.5896 90.00 90.00 90.57
Atoms (fractional coordinates):
Ce (0.0000, 0.0000, 0.0000)
Er (0.5000, 0.5000, 0.5000)
O (0.1901, 0.8099, 0.5000)
O (0.3079, 0.3079, 0.0000)
O (0.6921, 0.6921, 0.0000)
O (0.8099, 0.1901, 0.5000)

Computed properties:
raw formation energy	-2.984	eV/atom
SG	Cmmm (65)
volume	15.59	Å³ per atom
M_tot	0.164	μB per atom

---

[3]
Pu2N3 | GGA-PBE | optimized geometry

Lattice parameters (Å, degrees): 6.0487 6.0487 6.0487 57.95 57.95 57.95
Atoms (fractional coordinates):
Pu (0.0000, 0.0000, 0.0000)
Pu (0.2145, 0.2145, 0.2145)
Pu (0.5000, 0.5000, 0.5000)
Pu (0.7855, 0.7855, 0.7855)
N (0.1283, 0.7923, 0.3695)
N (0.2077, 0.6305, 0.8717)
N (0.3695, 0.1283, 0.7923)
N (0.6305, 0.8717, 0.2077)
N (0.7923, 0.3695, 0.1283)
N (0.8717, 0.2077, 0.6305)

Computed properties:
raw formation energy	-0.995	eV/atom
SG	R-3 (148)
volume	14.91	Å³ per atom
M_tot	1.400	μB per atom

---

[4]
SrBi | GGA-PBE | optimized geometry

Lattice parameters (Å, degrees): 6.1762 9.1872 10.6090 90.00 90.00 90.00
Atoms (fractional coordinates):
Sr (0.1908, 0.2265, 0.1251)
Sr (0.1908, 0.2735, 0.6251)
Sr (0.3092, 0.7265, 0.1251)
Sr (0.3092, 0.7735, 0.6251)
Sr (0.6908, 0.2265, 0.3749)
Sr (0.6908, 0.2735, 0.8749)
Sr (0.8092, 0.7265, 0.3749)
Sr (0.8092, 0.7735, 0.8749)
Bi (0.1790, 0.0077, 0.3853)
Bi (0.1790, 0.4923, 0.8853)
Bi (0.3210, 0.5077, 0.3853)
Bi (0.3210, 0.9923, 0.8853)
Bi (0.6790, 0.0077, 0.1147)
Bi (0.6790, 0.4923, 0.6147)
Bi (0.8210, 0.5077, 0.1147)
Bi (0.8210, 0.9923, 0.6147)

Computed properties:
energy of formation	-146.9	kJ/mol of formula units
SG	Pbca (61)
volume	37.62	Å³ per atom
M_tot	0.000	μB per atom

---

[5]
ErSn2Au | GGA-PBE | optimized geometry

Lattice parameters (Å, degrees): 10.5259 10.5259 10.5259 19.06 19.06 19.06
Atoms (fractional coordinates):
Er (0.0000, 0.0000, 0.0000)
Sn (0.0996, 0.0996, 0.0996)
Sn (0.9004, 0.9004, 0.9004)
Au (0.5000, 0.5000, 0.5000)

Computed properties:
energy of formation	-6.8	kJ/mol of formula units
SG	R-3m (166)
volume	27.16	Å³ per atom
M_tot	0.000	μB per atom

---

[6]
Sm2PaGeO8 | GGA-PBE | optimized geometry

Lattice parameters (Å, degrees): 3.8985 5.4458 7.8617 82.10 87.56 84.15
Atoms (fractional coordinates):
Sm (0.0119, 0.0223, 0.2441)
Sm (0.9881, 0.9777, 0.7559)
Pa (0.5000, 0.5000, 0.5000)
Ge (0.5000, 0.5000, 0.0000)
O (0.0219, 0.7302, 0.5303)
O (0.1306, 0.7331, 0.0277)
O (0.4557, 0.3281, 0.2158)
O (0.4580, 0.2038, 0.7034)
O (0.5420, 0.7962, 0.2966)
O (0.5443, 0.6719, 0.7842)
O (0.8694, 0.2669, 0.9723)
O (0.9781, 0.2698, 0.4697)

Computed properties:
raw formation energy	-2.766	eV/atom
SG	P-1 (2)
volume	13.70	Å³ per atom
M_tot	0.077	μB per atom